First-principles (GGA+U) data for crystalline ZrTiMoO6 at its relaxed geometry, as listed in Alexandria via LeMat-Bulk.

```
ZrTiMoO6
1.0
4.787 0.000 0.000
0.000 4.787 0.000
0.000 0.000 9.467
O Mo Zr Ti
12 2 2 2
Cartesian
0.905 3.882 1.639 O
3.298 3.298 6.372 O
1.488 1.488 6.372 O
3.882 0.905 1.639 O
3.843 0.944 4.655 O
1.401 1.401 3.182 O
3.795 0.992 7.916 O
1.450 1.450 9.388 O
0.992 3.795 7.916 O
3.385 3.385 3.182 O
3.337 3.337 9.388 O
0.944 3.843 4.655 O
0.000 0.000 9.456 Mo
2.393 2.393 4.723 Mo
2.393 2.393 1.591 Zr
0.000 0.000 6.324 Zr
0.000 0.000 3.134 Ti
2.393 2.393 7.868 Ti
```

uncorrected energy = -8.567 eV/atom

First-principles (GGA+U) data for crystalline TlMo2O7 at its relaxed geometry, as listed in Alexandria via LeMat-Bulk.

```
TlMo2O7
1.0
-3.583 0.686 -1.145
1.401 -1.925 -5.539
-2.027 -4.182 3.840
O Mo Tl
7 2 1
Cartesian
-2.405 -1.116 0.472 O
0.357 -2.612 -2.682 O
-1.411 -0.462 -2.246 O
-0.983 -3.495 0.983 O
-2.105 -2.710 -1.422 O
-2.799 -4.959 -0.597 O
-1.805 -4.305 -3.316 O
-1.454 -2.282 -3.203 Mo
-2.756 -3.139 0.359 Mo
0.000 0.000 0.000 Tl
```

uncorrected energy = -6.353 eV/atom

First-principles (GGA+U) data for crystalline TlMo6O17 at its relaxed geometry, as listed in Alexandria via LeMat-Bulk.

```
TlMo6O17
1.0
5.634 0.000 0.000
-2.817 4.879 0.000
0.000 0.000 14.430
O Mo Tl
17 6 1
Cartesian
1.384 0.799 2.201 O
1.408 2.440 0.000 O
0.000 3.253 6.870 O
0.000 1.598 12.229 O
2.817 0.000 0.000 O
-1.480 4.107 4.536 O
1.480 4.107 4.536 O
1.337 0.772 9.894 O
4.297 0.772 9.894 O
2.817 3.336 9.894 O
-1.433 4.080 12.229 O
2.817 3.282 2.201 O
4.250 0.799 2.201 O
0.000 1.543 4.536 O
-1.408 2.440 0.000 O
1.433 4.080 12.229 O
2.817 1.626 7.560 O
2.817 1.626 0.991 Mo
0.000 0.000 11.369 Mo
0.000 3.253 5.114 Mo
0.000 3.253 13.439 Mo
2.817 1.626 9.316 Mo
0.000 0.000 3.061 Mo
0.000 0.000 7.215 Tl
```

uncorrected energy = -6.927 eV/atom

Please write out number 1 again, unchanged.
First-principles (GGA+U) data for crystalline ZrTiMoO6 at its relaxed geometry, as listed in Alexandria via LeMat-Bulk.

```
ZrTiMoO6
1.0
4.787 0.000 0.000
0.000 4.787 0.000
0.000 0.000 9.467
O Mo Zr Ti
12 2 2 2
Cartesian
0.905 3.882 1.639 O
3.298 3.298 6.372 O
1.488 1.488 6.372 O
3.882 0.905 1.639 O
3.843 0.944 4.655 O
1.401 1.401 3.182 O
3.795 0.992 7.916 O
1.450 1.450 9.388 O
0.992 3.795 7.916 O
3.385 3.385 3.182 O
3.337 3.337 9.388 O
0.944 3.843 4.655 O
0.000 0.000 9.456 Mo
2.393 2.393 4.723 Mo
2.393 2.393 1.591 Zr
0.000 0.000 6.324 Zr
0.000 0.000 3.134 Ti
2.393 2.393 7.868 Ti
```

uncorrected energy = -8.567 eV/atom